First-principles (PBE-GGA) data for CsNa3Te after structural relaxation, as listed in Alexandria via LeMat-Bulk.

Calculated values
Total magnetization (Bohr magnetons per cell): 0.00
Space group: No. 221
Raw formation energy (eV/atom): -0.375

Geometry as CIF:
```
data_CsNa3Te
_chemical_formula_sum 'Cs1 Na3 Te1'
_symmetry_space_group_name_H-M 'P 1'
_symmetry_Int_Tables_number 1
_symmetry_space_group_name_Hall 'P 1'
_cell_length_a 6.2584
_cell_length_b 6.2584
_cell_length_c 6.2584
_cell_angle_alpha 90.00
_cell_angle_beta 90.00
_cell_angle_gamma 90.00
loop_
_atom_site_label
_atom_site_type_symbol
_atom_site_fract_x
_atom_site_fract_y
_atom_site_fract_z
_atom_site_occupancy
Cs1 Cs 0.5000 0.5000 0.5000 1
Na1 Na 0.0000 0.5000 0.0000 1
Na2 Na 0.0000 0.0000 0.5000 1
Na3 Na 0.5000 0.0000 0.0000 1
Te1 Te 0.0000 0.0000 0.0000 1
```

***

First-principles (PBE-GGA) data for CsNaTe2 after structural relaxation, as listed in Alexandria via LeMat-Bulk.

Calculated values
Total magnetization (Bohr magnetons per cell): 0.00
Space group: No. 166
Raw formation energy (eV/atom): -0.241

Geometry as CIF:
```
data_CsNaTe2
_chemical_formula_sum 'Cs1 Na1 Te2'
_symmetry_space_group_name_H-M 'P 1'
_symmetry_Int_Tables_number 1
_symmetry_space_group_name_Hall 'P 1'
_cell_length_a 11.9164
_cell_length_b 11.9164
_cell_length_c 11.9164
_cell_angle_alpha 18.82
_cell_angle_beta 18.82
_cell_angle_gamma 18.82
loop_
_atom_site_label
_atom_site_type_symbol
_atom_site_fract_x
_atom_site_fract_y
_atom_site_fract_z
_atom_site_occupancy
Cs1 Cs 0.0000 0.0000 0.0000 1
Na1 Na 0.5000 0.5000 0.5000 1
Te1 Te 0.8998 0.8998 0.8998 1
Te2 Te 0.1002 0.1002 0.1002 1
```

***

First-principles (PBE-GGA) data for Cs3NaTe after structural relaxation, as listed in Alexandria via LeMat-Bulk.

Calculated values
Total magnetization (Bohr magnetons per cell): 0.00
Space group: No. 221
Raw formation energy (eV/atom): -0.527

Geometry as CIF:
```
data_Cs3NaTe
_chemical_formula_sum 'Cs3 Na1 Te1'
_symmetry_space_group_name_H-M 'P 1'
_symmetry_Int_Tables_number 1
_symmetry_space_group_name_Hall 'P 1'
_cell_length_a 7.4446
_cell_length_b 7.4446
_cell_length_c 7.4446
_cell_angle_alpha 90.00
_cell_angle_beta 90.00
_cell_angle_gamma 90.00
loop_
_atom_site_label
_atom_site_type_symbol
_atom_site_fract_x
_atom_site_fract_y
_atom_site_fract_z
_atom_site_occupancy
Cs1 Cs 0.0000 0.5000 0.0000 1
Cs2 Cs 0.0000 0.0000 0.5000 1
Cs3 Cs 0.5000 0.0000 0.0000 1
Na1 Na 0.5000 0.5000 0.5000 1
Te1 Te 0.0000 0.0000 0.0000 1
```

***

Number 1: distance to the lowest polymorph of the same formula 0.000 eV per atom, D(E_F) 2.3 states/eV/cell. Number 2: distance to the lowest polymorph of the same formula 0.522 eV per atom, D(E_F) 3.4 states/eV/cell. Number 3: distance to the lowest polymorph of the same formula 0.000 eV per atom, D(E_F) 0.0 states/eV/cell.